Here is a geometry-optimized Cs2ZrHgOs structure from the Alexandria database. Energies are from PBE-GGA.

Unit cell a=7.2616 b=7.2616 c=4.7368 alpha=90.00 beta=90.00 gamma=90.00
Positions (direct):
Cs (0.0000, 0.5000, 0.0000)
Cs (0.5000, 0.0000, 0.0000)
Zr (0.0000, 0.0000, 0.0000)
Hg (0.5000, 0.5000, 0.5000)
Os (0.0000, 0.0000, 0.5000)

For the total magnetization, the calculation gives 0.07 μB/f.u. The calculation puts the density at 4.97 g/cm³. The calculation puts the uncorrected energy at -3.35 eV/atom. The value obtained for the calculated formation energy is 1011 meV per atom.

Here is a geometry-optimized Nd3In2Ga structure from the Alexandria database. Energies are from PBE-GGA.

Unit cell a=5.3953 b=5.3953 c=6.6445 alpha=90.00 beta=90.00 gamma=120.00
Positions (direct):
Nd (0.0000, 0.0000, 0.0000)
Nd (0.3333, 0.6667, 0.6541)
Nd (0.6667, 0.3333, 0.3459)
In (0.3333, 0.6667, 0.1582)
In (0.6667, 0.3333, 0.8418)
Ga (0.0000, 0.0000, 0.5000)

For the total magnetization, the calculation gives 0.00 μB/f.u. The calculation puts the density at 7.26 g/cm³. The calculation puts the uncorrected energy at -4.30 eV/atom. The value obtained for the calculated formation energy is -498 meV per atom. The value obtained for the offset from the most stable computed form is 0.011 eV per atom.

Here is a geometry-optimized LaCrSb3 structure from the Alexandria database. Energies are from PBE-GGA.

Unit cell a=6.0069 b=6.0069 c=6.0069 alpha=90.00 beta=90.00 gamma=90.00
Positions (direct):
La (0.0000, 0.0000, 0.0000)
Cr (0.5000, 0.5000, 0.5000)
Sb (0.0000, 0.0000, 0.5000)
Sb (0.0000, 0.5000, 0.0000)
Sb (0.5000, 0.0000, 0.0000)

For the total magnetization, the calculation gives 4.65 μB/f.u. The calculation puts the density at 4.26 g/cm³. The calculation puts the uncorrected energy at -4.46 eV/atom. The value obtained for the offset from the most stable computed form is 1.430 eV per atom.

Here is a geometry-optimized BaVCrSe6 structure from the Alexandria database. Energies are from PBE-GGA.

Unit cell a=5.9074 b=6.4723 c=7.1718 alpha=85.34 beta=77.59 gamma=64.61
Positions (direct):
Ba (0.0000, 0.0000, 0.0000)
V (0.5382, 0.6788, 0.4770)
Cr (0.2295, 0.3055, 0.4459)
Se (0.1792, 0.6306, 0.6416)
Se (0.4410, 0.9843, 0.2203)
Se (0.4777, 0.4841, 0.2015)
Se (0.4900, 0.0008, 0.6513)
Se (0.8178, 0.3559, 0.6338)
Se (0.9614, 0.5105, 0.2029)

For the total magnetization, the calculation gives 2.11 μB/f.u. The calculation puts the density at 4.90 g/cm³. The calculation puts the uncorrected energy at -5.36 eV/atom.

Here is a geometry-optimized MnBe2ReTc structure from the Alexandria database. Energies are from PBE-GGA.

Unit cell a=3.9153 b=3.9153 c=4.3322 alpha=90.00 beta=90.00 gamma=90.00
Positions (direct):
Mn (0.0000, 0.0000, 0.0000)
Be (0.0000, 0.5000, 0.0000)
Be (0.5000, 0.0000, 0.0000)
Re (0.5000, 0.5000, 0.5000)
Tc (0.0000, 0.0000, 0.5000)

For the total magnetization, the calculation gives 0.02 μB/f.u. The calculation puts the density at 8.93 g/cm³. The calculation puts the uncorrected energy at -6.67 eV/atom. The value obtained for the calculated formation energy is 1219 meV per atom.

Here is a geometry-optimized Ho11Tl9Rh4 structure from the Alexandria database. Energies are from PBE-GGA.

Unit cell a=13.1792 b=13.1792 c=3.6884 alpha=90.00 beta=90.00 gamma=112.52
Positions (direct):
Ho (0.0000, 0.0000, 0.0000)
Ho (0.0826, 0.4174, 0.0000)
Ho (0.1628, 0.8372, 0.0000)
Ho (0.3118, 0.3118, 0.0000)
Ho (0.3739, 0.6261, 0.0000)
Ho (0.4174, 0.0826, 0.0000)
Ho (0.5826, 0.9174, 0.0000)
Ho (0.6261, 0.3739, 0.0000)
Ho (0.6882, 0.6882, 0.0000)
Ho (0.8372, 0.1628, 0.0000)
Ho (0.9174, 0.5826, 0.0000)
Tl (0.0704, 0.2165, 0.5000)
Tl (0.1524, 0.6307, 0.5000)
Tl (0.2165, 0.0704, 0.5000)
Tl (0.3693, 0.8476, 0.5000)
Tl (0.5000, 0.5000, 0.5000)
Tl (0.6307, 0.1524, 0.5000)
Tl (0.7835, 0.9296, 0.5000)
Tl (0.8476, 0.3693, 0.5000)
Tl (0.9296, 0.7835, 0.5000)
Rh (0.2485, 0.4497, 0.5000)
Rh (0.4497, 0.2485, 0.5000)
Rh (0.5503, 0.7515, 0.5000)
Rh (0.7515, 0.5503, 0.5000)

For the total magnetization, the calculation gives 0.00 μB/f.u. The calculation puts the density at 11.41 g/cm³. The calculation puts the uncorrected energy at -4.77 eV/atom. The value obtained for the calculated formation energy is -557 meV per atom.

Here is a geometry-optimized TcPtW2 structure from the Alexandria database. Energies are from PBE-GGA.

Unit cell a=9.3066 b=9.3066 c=9.3066 alpha=17.33 beta=17.33 gamma=17.33
Positions (direct):
Tc (0.0000, 0.0000, 0.0000)
Pt (0.5000, 0.5000, 0.5000)
W (0.2517, 0.2517, 0.2517)
W (0.7483, 0.7483, 0.7483)

For the total magnetization, the calculation gives 0.00 μB/f.u. The calculation puts the density at 17.57 g/cm³. The calculation puts the uncorrected energy at -10.50 eV/atom. The value obtained for the calculated formation energy is 79 meV per atom. The value obtained for the offset from the most stable computed form is 0.212 eV per atom.

Here is a geometry-optimized K2NiSnI structure from the Alexandria database. Energies are from PBE-GGA.

Unit cell a=6.8150 b=6.8150 c=4.7128 alpha=90.00 beta=90.00 gamma=90.00
Positions (direct):
K (0.0000, 0.5000, 0.0000)
K (0.5000, 0.0000, 0.0000)
Ni (0.0000, 0.0000, 0.5000)
Sn (0.0000, 0.0000, 0.0000)
I (0.5000, 0.5000, 0.5000)

For the total magnetization, the calculation gives 0.00 μB/f.u. The calculation puts the density at 2.90 g/cm³. The calculation puts the uncorrected energy at -2.84 eV/atom.

Here is a geometry-optimized Y2TiCu structure from the Alexandria database. Energies are from PBE-GGA.

Unit cell a=3.3804 b=3.3804 c=7.9387 alpha=90.00 beta=90.00 gamma=90.00
Positions (direct):
Y (0.0000, 0.0000, 0.2309)
Y (0.0000, 0.0000, 0.7691)
Ti (0.5000, 0.5000, 0.5000)
Cu (0.5000, 0.5000, 0.0000)

For the total magnetization, the calculation gives 0.00 μB/f.u. The calculation puts the density at 5.29 g/cm³. The calculation puts the uncorrected energy at -6.20 eV/atom. The value obtained for the calculated formation energy is 27 meV per atom. The value obtained for the offset from the most stable computed form is 0.000 eV per atom.

Here is a geometry-optimized In2NiAg structure from the Alexandria database. Energies are from PBE-GGA.

Unit cell a=3.3521 b=4.3523 c=5.4218 alpha=90.00 beta=105.36 gamma=90.00
Positions (direct):
In (0.0000, 0.0000, 0.0000)
In (0.2823, 0.5000, 0.6150)
Ni (0.5412, 0.5000, 0.1349)
Ag (0.7080, 0.0000, 0.4476)

For the total magnetization, the calculation gives 0.00 μB/f.u. The calculation puts the density at 8.63 g/cm³. The calculation puts the uncorrected energy at -3.48 eV/atom. The value obtained for the calculated formation energy is 51 meV per atom. The value obtained for the offset from the most stable computed form is 0.084 eV per atom.

Here is a geometry-optimized TaSe2S structure from the Alexandria database. Energies are from PBE-GGA.

Unit cell a=6.8338 b=6.8338 c=6.8338 alpha=123.48 beta=123.48 gamma=84.08
Positions (direct):
Ta (0.0000, 0.0000, 0.0000)
Ta (0.7500, 0.2500, 0.5000)
Se (0.0847, 0.6250, 0.9597)
Se (0.3750, 0.3347, 0.4597)
Se (0.6653, 0.1250, 0.0403)
Se (0.8750, 0.9153, 0.5403)
S (0.2500, 0.7500, 0.5000)
S (0.5000, 0.5000, 0.0000)

For the total magnetization, the calculation gives 0.47 μB/f.u. The calculation puts the density at 5.80 g/cm³. The calculation puts the uncorrected energy at -5.45 eV/atom.

Here is a geometry-optimized Tb2Y6Er3Mg structure from the Alexandria database. Energies are from PBE-GGA.

Unit cell a=6.1232 b=6.1232 c=11.6937 alpha=95.04 beta=95.04 gamma=120.04
Positions (direct):
Tb (0.1663, 0.8337, 0.0000)
Tb (0.8337, 0.1663, 0.0000)
Y (0.0851, 0.4173, 0.7504)
Y (0.2503, 0.2503, 0.2505)
Y (0.4173, 0.0851, 0.7504)
Y (0.5827, 0.9149, 0.2496)
Y (0.7497, 0.7497, 0.7495)
Y (0.9149, 0.5827, 0.2496)
Er (0.0000, 0.0000, 0.5000)
Er (0.3343, 0.6657, 0.5000)
Er (0.6657, 0.3343, 0.5000)
Mg (0.5000, 0.5000, 0.0000)

For the total magnetization, the calculation gives 0.00 μB/f.u. The calculation puts the density at 6.12 g/cm³. The calculation puts the uncorrected energy at -5.25 eV/atom. The value obtained for the calculated formation energy is 32 meV per atom.

Which value of uncorrected energy does entry 1 give?
-3.35 eV/atom

Number 6 is which compound?
Ho11Tl9Rh4

The highest density belongs to which entry?
TcPtW2